The following is a DFT calculation (PBE-GGA) of GaBAsBr2 after structural relaxation.

## Properties
Crystal system ... tetragonal
Uncorrected energy ... -0.092 hartree per atom
Energy above the lowest structure with this stoichiometry ... 0.524 eV per atom
Magnetization ... 0.0 μB/f.u.
ΔE_f (raw) ... 1.04 eV per atom
Theoretical density ... 3.86 g/cm3

a b c (Å): 5.1980 5.1980 5.0132
angles (deg): 90.00 90.00 90.00
Element x y z (fractional)
As (0.0000, 0.0000, 0.5000)
B (0.5000, 0.5000, 0.5000)
Ga (0.0000, 0.0000, 0.0000)
Br (0.0000, 0.5000, 0.0000)
Br (0.5000, 0.0000, 0.0000)

The following is a DFT calculation (PBE-GGA) of GaBAsBr2 after structural relaxation.

## Properties
Crystal system ... tetragonal
Uncorrected energy ... -0.111 hartree per atom
Energy above the lowest structure with this stoichiometry ... 0.000 eV per atom
Magnetization ... 0.0 μB/f.u.
ΔE_f (raw) ... 0.51 eV per atom
Theoretical density ... 4.56 g/cm3

a b c (Å): 5.3011 5.3011 4.0876
angles (deg): 90.00 90.00 90.00
Element x y z (fractional)
As (0.0000, 0.0000, 0.5000)
B (0.0000, 0.0000, 0.0000)
Ga (0.5000, 0.5000, 0.5000)
Br (0.0000, 0.5000, 0.0000)
Br (0.5000, 0.0000, 0.0000)

The following is a DFT calculation (PBE-GGA) of GeBAs2Br after structural relaxation.

## Properties
Crystal system ... tetragonal
Uncorrected energy ... -0.110 hartree per atom
Energy above the lowest structure with this stoichiometry ... 0.645 eV per atom
Magnetization ... 0.9 μB/f.u.
ΔE_f (raw) ... 1.46 eV per atom
Theoretical density ... 3.91 g/cm3

a b c (Å): 4.9719 4.9719 5.3753
angles (deg): 90.00 90.00 90.00
Element x y z (fractional)
As (0.0000, 0.5000, 0.0000)
As (0.5000, 0.0000, 0.0000)
B (0.5000, 0.5000, 0.5000)
Ge (0.0000, 0.0000, 0.0000)
Br (0.0000, 0.0000, 0.5000)

The following is a DFT calculation (PBE-GGA) of GeBAs2Br after structural relaxation.

## Properties
Crystal system ... tetragonal
Uncorrected energy ... -0.134 hartree per atom
Energy above the lowest structure with this stoichiometry ... 0.000 eV per atom
Magnetization ... 0.0 μB/f.u.
ΔE_f (raw) ... 0.81 eV per atom
Theoretical density ... 5.31 g/cm3

a b c (Å): 4.3620 4.3620 5.1470
angles (deg): 90.00 90.00 90.00
Element x y z (fractional)
As (0.0000, 0.5000, 0.0000)
As (0.5000, 0.0000, 0.0000)
B (0.0000, 0.0000, 0.0000)
Ge (0.5000, 0.5000, 0.5000)
Br (0.0000, 0.0000, 0.5000)

The following is a DFT calculation (PBE-GGA) of BAs2HBr after structural relaxation.

## Properties
Crystal system ... tetragonal
Uncorrected energy ... -0.111 hartree per atom
Energy above the lowest structure with this stoichiometry ... 0.000 eV per atom
Magnetization ... 0.8 μB/f.u.
Theoretical density ... 4.14 g/cm3

a b c (Å): 4.2761 4.2761 5.3007
angles (deg): 90.00 90.00 90.00
Element x y z (fractional)
H (0.5000, 0.5000, 0.5000)
As (0.0000, 0.5000, 0.0000)
As (0.5000, 0.0000, 0.0000)
B (0.0000, 0.0000, 0.0000)
Br (0.0000, 0.0000, 0.5000)

The following is a DFT calculation (PBE-GGA) of BAs2HBr after structural relaxation.

## Properties
Crystal system ... tetragonal
Uncorrected energy ... -0.110 hartree per atom
Energy above the lowest structure with this stoichiometry ... 0.018 eV per atom
Magnetization ... 0.0 μB/f.u.
Theoretical density ... 3.73 g/cm3

a b c (Å): 3.7767 3.7767 7.5462
angles (deg): 90.00 90.00 90.00
Element x y z (fractional)
H (0.0000, 0.0000, 0.0000)
As (0.0000, 0.5000, 0.0000)
As (0.5000, 0.0000, 0.0000)
B (0.5000, 0.5000, 0.5000)
Br (0.0000, 0.0000, 0.5000)

The following is a DFT calculation (PBE-GGA) of HfBAsBr2 after structural relaxation.

## Properties
Crystal system ... tetragonal
Uncorrected energy ... -0.156 hartree per atom
Energy above the lowest structure with this stoichiometry ... 0.093 eV per atom
Magnetization ... 0.0 μB/f.u.
ΔE_f (raw) ... 0.68 eV per atom
Theoretical density ... 7.37 g/cm3

a b c (Å): 4.4106 4.4106 4.9131
angles (deg): 90.00 90.00 90.00
Element x y z (fractional)
As (0.0000, 0.0000, 0.5000)
B (0.0000, 0.0000, 0.0000)
Hf (0.5000, 0.5000, 0.5000)
Br (0.0000, 0.5000, 0.0000)
Br (0.5000, 0.0000, 0.0000)

The following is a DFT calculation (PBE-GGA) of HfBAs2Br after structural relaxation.

## Properties
Crystal system ... tetragonal
Uncorrected energy ... -0.170 hartree per atom
Energy above the lowest structure with this stoichiometry ... 0.296 eV per atom
Magnetization ... 0.0 μB/f.u.
ΔE_f (raw) ... 0.89 eV per atom
Theoretical density ... 4.93 g/cm3

a b c (Å): 5.1711 5.1711 5.2808
angles (deg): 90.00 90.00 90.00
Element x y z (fractional)
As (0.0000, 0.5000, 0.0000)
As (0.5000, 0.0000, 0.0000)
B (0.5000, 0.5000, 0.5000)
Hf (0.0000, 0.0000, 0.0000)
Br (0.0000, 0.0000, 0.5000)

The lowest uncorrected energy belongs to which entry? HfBAs2Br

What is the theoretical density in the sixth record? 3.73 g/cm3

Which value of theoretical density does entry 6 give? 3.73 g/cm3

Which value of energy above the lowest structure with this stoichiometry does entry 7 give? 0.093 eV per atom